(1)
Here is an optimized crystal structure of TaBiOF2 from Alexandria. Energies are from GGA-PBEsol.

```
data_TaBiOF2
_chemical_formula_sum 'Ta1 Bi1 O1 F2'
_symmetry_space_group_name_H-M 'P 4/m m m'
_symmetry_Int_Tables_number 123
_symmetry_space_group_name_Hall '-P 4 2'
_cell_length_a 4.360
_cell_length_b 4.360
_cell_length_c 3.913
_cell_angle_alpha 90.00
_cell_angle_beta 90.00
_cell_angle_gamma 90.00
loop_
_atom_site_label
_atom_site_type_symbol
_atom_site_fract_x
_atom_site_fract_y
_atom_site_fract_z
_atom_site_occupancy
Ta1 Ta 0.000 0.000 0.000 1
Bi1 Bi 0.500 0.500 0.500 1
O1 O 0.000 0.000 0.500 1
F1 F 0.000 0.500 0.000 1
```

**Fermi-level density of states**: 4.71 states/eV/cell
**Final energy**: -6.6655 eV per atom
**Formation energy (no corrections)**: -1.477 eV per atom

***

(2)
Here is an optimized crystal structure of Be4HgW from Alexandria. Energies are from GGA-PBEsol.

```
data_Be4HgW
_chemical_formula_sum 'Be16 Hg4 W4'
_symmetry_space_group_name_H-M 'F -4 3 m'
_symmetry_Int_Tables_number 216
_symmetry_space_group_name_Hall 'F -4 2 3'
_cell_length_a 6.440
_cell_length_b 6.440
_cell_length_c 6.440
_cell_angle_alpha 90.00
_cell_angle_beta 90.00
_cell_angle_gamma 90.00
loop_
_atom_site_label
_atom_site_type_symbol
_atom_site_fract_x
_atom_site_fract_y
_atom_site_fract_z
_atom_site_occupancy
Be1 Be 0.120 0.120 0.380 1
Hg1 Hg 0.000 0.000 0.000 1
W1 W 0.250 0.250 0.750 1
```

**E_form**: 0.3209 eV/atom
**Fermi-level density of states**: 7.14 states/eV/cell
**Final energy**: -4.7415 eV per atom

***

(3)
Here is an optimized crystal structure of TaP2Au from Alexandria. Energies are from GGA-PBEsol.

```
data_TaP2Au
_chemical_formula_sum 'Ta4 P8 Au4'
_symmetry_space_group_name_H-M 'I -4 2 d'
_symmetry_Int_Tables_number 122
_symmetry_space_group_name_Hall 'I -4 2bw'
_cell_length_a 5.589
_cell_length_b 5.589
_cell_length_c 10.925
_cell_angle_alpha 90.00
_cell_angle_beta 90.00
_cell_angle_gamma 90.00
loop_
_atom_site_label
_atom_site_type_symbol
_atom_site_fract_x
_atom_site_fract_y
_atom_site_fract_z
_atom_site_occupancy
Ta1 Ta 0.000 0.000 0.000 1
P1 P 0.245 0.250 0.125 1
Au1 Au 0.000 0.000 0.500 1
```

**E_form**: 0.0442 eV/atom
**Fermi-level density of states**: 5.25 states/eV/cell
**Final energy**: -6.9703 eV per atom
**E above lowest polymorph**: 141.1 meV per atom

***

(4)
Here is an optimized crystal structure of LaYTa2Pd from Alexandria. Energies are from GGA-PBEsol.

```
data_LaYTa2Pd
_chemical_formula_sum 'La1 Y1 Ta2 Pd1'
_symmetry_space_group_name_H-M 'P 4/m m m'
_symmetry_Int_Tables_number 123
_symmetry_space_group_name_Hall '-P 4 2'
_cell_length_a 4.957
_cell_length_b 4.957
_cell_length_c 5.183
_cell_angle_alpha 90.00
_cell_angle_beta 90.00
_cell_angle_gamma 90.00
loop_
_atom_site_label
_atom_site_type_symbol
_atom_site_fract_x
_atom_site_fract_y
_atom_site_fract_z
_atom_site_occupancy
La1 La 0.000 0.000 0.000 1
Y1 Y 0.500 0.500 0.000 1
Ta1 Ta 0.000 0.500 0.500 1
Pd1 Pd 0.500 0.500 0.500 1
```

**E_form**: 0.6880 eV/atom
**Fermi-level density of states**: 4.92 states/eV/cell
**Final energy**: -7.9579 eV per atom